Li2ThTe3 | GGA-PBE | optimized geometry

Cell and atoms, written as extended XYZ:
```
12
Lattice="-0.766 -4.201 1.212 0.579 -1.811 -5.915 12.662 -1.793 1.789" Properties=species:S:1:pos:R:3 pbc="T T T"
Li 10.710 -4.971 -2.332
Li 8.479 -1.630 -0.293
Li 2.056 -3.745 -3.555
Li 4.471 -1.063 -0.859
Th 6.381 -4.353 -2.927
Th 0.146 -0.456 -1.487
Te 6.092 -3.447 0.030
Te 0.435 -1.361 -4.444
Te 4.609 -1.949 -3.843
Te 1.918 -2.860 -0.571
Te 8.921 -2.559 -3.234
Te 10.267 -4.042 0.609
```

As for the crystal system: orthorhombic. As for the uncorrected formation energy: -1.0991 eV per atom. As for the electronic total energy: -4.544 eV/atom. The value obtained for the polymorph energy (0 for the lowest one) is 0 meV/atom. The total magnetic moment comes out at 0.0 μB/f.u.